{
  "formula": "CuSnI",
  "functional": "PBE",
  "state": "relaxed",
  "lattice": [[4.366, -0.023, 0.671], [-1.877, 4.330, -0.879], [0.975, -1.605, 10.775]],
  "species": ["I", "I", "Cu", "Cu", "Sn", "Sn"],
  "fractional_positions": [[0.238, 0.780, 0.165], [0.762, 0.220, 0.835], [0.090, 0.192, 0.606], [0.910, 0.808, 0.394], [0.616, 0.208, 0.403], [0.384, 0.792, 0.597]],
  "total_energy_ev_per_atom": -3.282,
  "m_tot_mub_per_atom": 0.00,
  "space_group": "P-1"
}